# PmZn7

A relaxed structure of PmZn7 (PBE, the Alexandria database).

a = 3.910 Å, b = 6.452 Å, c = 6.452 Å
α = 67.87°, β = 72.52°, γ = 72.52°
Sites, in units of the cell vectors:
Zn: 0.635 0.551 0.177
Zn: 0.365 0.449 0.823
Zn: 0.748 0.754 0.754
Zn: 0.252 0.246 0.246
Zn: 0.000 0.500 0.500
Zn: 0.635 0.177 0.551
Zn: 0.365 0.823 0.449
Pm: 0.000 0.000 0.000

Properties
SG   C2/m
Formation energy   -215 meV/atom
Density   7.1 g cm⁻³

---

# PmZn3

A relaxed structure of PmZn3 (PBE, the Alexandria database).

a = 4.540 Å, b = 5.640 Å, c = 6.633 Å
α = 90.00°, β = 90.00°, γ = 113.73°
Sites, in units of the cell vectors:
Zn: 0.120 0.240 0.559
Zn: 0.120 0.240 0.941
Zn: 0.880 0.760 0.059
Zn: 0.702 0.403 0.750
Zn: 0.298 0.597 0.250
Zn: 0.880 0.760 0.441
Pm: 0.598 0.196 0.250
Pm: 0.402 0.804 0.750

Properties
SG   Cmcm
Formation energy   -339 meV/atom
Density   7.3 g cm⁻³

---

# Pm3Zn

A relaxed structure of Pm3Zn (PBE, the Alexandria database).

a = 3.661 Å, b = 3.661 Å, c = 8.810 Å
α = 90.00°, β = 90.00°, γ = 90.00°
Sites, in units of the cell vectors:
Pm: 0.500 0.500 0.207
Pm: 0.500 0.500 0.793
Pm: 0.000 0.000 0.500
Zn: 0.000 0.000 0.000

Properties
SG   P4/mmm
Formation energy   -152 meV/atom
Density   7.0 g cm⁻³
Distance to the lowest polymorph of the same formula   0 meV per atom

---

# Pm3Zn2

A relaxed structure of Pm3Zn2 (PBE, the Alexandria database).

a = 3.684 Å, b = 3.684 Å, c = 10.154 Å
α = 100.45°, β = 100.45°, γ = 90.00°
Sites, in units of the cell vectors:
Pm: 0.000 0.000 0.000
Pm: 0.819 0.819 0.637
Pm: 0.181 0.181 0.363
Zn: 0.592 0.592 0.184
Zn: 0.408 0.408 0.816

Properties
SG   I4/mmm
Formation energy   -250 meV/atom
Density   7.1 g cm⁻³